(1)
Entry from the Alexandria database: a geometry-optimized ThNpBr structure (PBE).

formation energy without anion corrections: -431.5 meV per atom
space group: P2_1/m (11)

POSCAR file:
```
ThNpBr
1.0
4.482 0.000 0.000
0.000 3.513 -0.527
0.000 -0.499 9.961
Br Th Np
2 2 2
Cartesian
3.361 1.949 8.391
1.120 1.065 1.043
1.120 0.002 7.220
3.361 3.012 2.214
3.361 1.127 4.899
1.120 1.887 4.535
```

=====

(2)
Entry from the Alexandria database: a geometry-optimized ThNpBr2 structure (PBE).

formation energy without anion corrections: -567.5 meV per atom
space group: R-3m (166)

POSCAR file:
```
ThNpBr2
1.0
-1.866 1.822 2.432
-2.484 -1.657 1.950
5.865 -2.262 8.809
Np Br Th
1 2 1
Cartesian
0.000 0.000 0.000
3.764 -1.597 6.698
-2.249 -0.501 6.493
0.758 -1.049 6.595
```

=====

(3)
Entry from the Alexandria database: a geometry-optimized NpTl2Br4 structure (PBE).

formation energy without anion corrections: -844.2 meV per atom
space group: I4/mmm (139)

POSCAR file:
```
NpTl2Br4
1.0
-0.125 5.681 -1.087
-5.398 0.276 2.065
0.225 4.499 8.090
Np Tl Br
1 2 4
Cartesian
0.000 0.000 0.000
-3.344 7.067 6.524
-1.954 3.390 2.544
-4.478 6.490 3.638
-0.820 3.967 5.430
-2.699 0.138 1.033
-0.062 2.841 -0.543
```

=====

(4)
Entry from the Alexandria database: a geometry-optimized NpTl2Br6 structure (PBE).

relative energy among the computed polymorphs: 0.000 eV/atom
formation energy without anion corrections: -1113.2 meV per atom
space group: P2_1/c (14)

POSCAR file:
```
NpTl2Br6
1.0
-0.692 -0.219 7.625
8.329 -1.251 0.720
1.600 10.603 -0.096
Np Tl Br
2 4 12
Cartesian
3.819 -0.735 4.172
0.800 5.301 -0.048
3.938 7.320 7.632
8.383 6.610 4.607
0.855 2.523 3.641
5.299 1.813 0.616
7.868 1.250 7.458
6.316 4.790 6.787
6.584 9.097 6.490
1.835 5.419 5.412
2.889 9.609 5.184
3.894 1.921 4.968
1.370 7.883 0.790
2.921 4.344 1.461
2.654 0.036 1.758
7.403 3.714 2.836
6.349 -0.475 3.064
5.344 7.212 3.280
```

=====

(5)
Entry from the Alexandria database: a geometry-optimized NpTl3Br6 structure (PBE).

relative energy among the computed polymorphs: 0.080 eV/atom
formation energy without anion corrections: -979.7 meV per atom
space group: Fmmm (69)

POSCAR file:
```
NpTl3Br6
1.0
7.682 -0.193 0.000
-1.385 7.558 0.000
-3.148 -3.683 7.449
Np Tl Br
1 3 6
Cartesian
0.000 0.000 0.000
3.841 -0.097 3.725
3.148 3.683 0.000
-0.692 3.779 3.725
1.777 2.079 5.468
4.926 5.762 1.981
-1.777 -2.079 5.468
1.371 1.604 1.981
5.532 1.644 0.000
0.764 5.721 0.000
```

=====

(6)
Entry from the Alexandria database: a geometry-optimized Np2Tl2Br7 structure (PBE).

formation energy without anion corrections: -1048.7 meV per atom
space group: C2/m (12)

POSCAR file:
```
Np2Tl2Br7
1.0
-2.663 -6.579 2.701
2.089 2.623 6.777
-5.718 4.124 2.735
Np Tl Br
2 2 7
Cartesian
-5.306 -1.247 9.784
-0.986 1.415 2.429
-1.053 -0.318 7.190
-5.239 0.487 5.023
-1.588 2.969 8.511
-1.258 -3.463 5.487
-4.704 -2.801 3.702
-5.034 3.632 6.727
0.000 0.000 0.000
-3.993 -1.380 7.199
-2.299 1.548 5.014
```

=====

(7)
Entry from the Alexandria database: a geometry-optimized NpTl2Br5 structure (PBE).

formation energy without anion corrections: -1079.5 meV per atom
space group: Cmcm (63)

POSCAR file:
```
NpTl2Br5
1.0
-3.634 4.297 -1.721
-4.667 -6.157 4.541
2.721 7.485 12.946
Np Tl Br
2 4 10
Cartesian
-4.079 5.103 11.291
-1.501 0.523 4.475
-5.246 2.567 7.424
-6.266 -0.238 2.572
-0.334 3.059 8.342
0.686 5.864 13.194
-5.283 5.114 13.863
-5.992 3.163 10.490
-2.539 0.732 7.189
-3.337 -1.463 3.392
-3.630 2.479 3.791
-1.950 3.147 11.974
-3.041 4.893 8.577
-2.243 7.089 12.374
-0.296 0.512 1.903
0.413 2.462 5.276
```

=====

(8)
Entry from the Alexandria database: a geometry-optimized NpTl2Br7 structure (PBE).

formation energy without anion corrections: -936.6 meV per atom
space group: C2/c (15)

POSCAR file:
```
NpTl2Br7
1.0
7.948 0.000 3.876
3.307 8.979 3.306
-0.151 -0.527 10.396
Np Tl Br
2 4 14
Cartesian
7.693 1.850 12.027
3.411 6.602 5.551
8.012 7.844 12.712
7.316 3.618 6.291
3.788 4.834 11.287
3.092 0.608 4.866
6.877 4.418 12.591
0.162 0.192 3.235
4.658 7.164 13.882
2.601 1.058 7.917
5.187 1.850 10.805
8.459 2.938 9.654
1.319 2.641 10.546
9.785 5.811 7.033
2.645 5.514 7.924
5.916 6.602 6.773
8.503 7.394 9.661
6.445 1.288 3.696
10.942 8.260 14.343
4.227 4.034 4.987
```

=====

no.,electronic total energy (eV/atom)
1,-7.776
2,-6.494
3,-4.325
4,-4.192
5,-3.987
6,-4.896
7,-4.334
8,-3.875